[1]
A plane-wave DFT calculation with PBE was carried out for an optimized crystal structure of Ba2LiMnCo.

Unit cell a=6.037 b=6.037 c=4.291 alpha=90.00 beta=90.00 gamma=90.00
Fractional coordinates of all 5 atoms:
Ba  0.000  0.500  0.000
Ba  0.500  0.000  0.000
Li  0.000  0.000  0.000
Mn  0.500  0.500  0.500
Co  0.000  0.000  0.500

[2]
A plane-wave DFT calculation with PBE was carried out for an optimized crystal structure of Ba2LiCoMo.

Unit cell a=5.800 b=5.800 c=4.849 alpha=90.00 beta=90.00 gamma=90.00
Fractional coordinates of all 5 atoms:
Ba  0.000  0.500  0.000
Ba  0.500  0.000  0.000
Li  0.000  0.000  0.500
Co  0.000  0.000  0.000
Mo  0.500  0.500  0.500

| no. | energy (eV per cell) |
| --- | --- |
| 1 | -17.78 |
| 2 | -18.30 |